# 1
{"formula": "Ce2Er2AlGa4", "functional": "PBE", "state": "relaxed", "space_group": "No. 139", "ef_ev_per_atom": -0.180, "e_tot_ev_per_atom": -4.27, "lattice": [[-3.353, -2.657, 5.078], [6.194, 2.008, 1.300], [-2.234, 5.828, -2.266]], "species": ["Ce", "Ga", "Er", "Al", "Er", "Ga", "Ce", "Ga", "Ga"], "frac_coords": [[0.000, 0.314, 0.314], [0.000, 0.753, 0.247], [0.500, 0.750, 0.250], [0.000, 0.000, 0.000], [0.500, 0.250, 0.750], [0.000, 0.247, 0.753], [0.000, 0.686, 0.686], [0.494, 0.247, 0.247], [0.506, 0.753, 0.753]]}

# 2
{"formula": "CeErAl2Ga2", "functional": "PBE", "state": "relaxed", "space_group": "No. 164", "ef_ev_per_atom": -0.526, "e_tot_ev_per_atom": -4.53, "lattice": [[4.464, 0.000, 0.000], [-2.232, 3.866, 0.000], [0.000, 0.000, 7.294]], "species": ["Al", "Ga", "Er", "Ga", "Ce", "Al"], "frac_coords": [[0.333, 0.667, 0.740], [0.333, 0.667, 0.264], [0.000, 0.000, 0.500], [0.667, 0.333, 0.736], [0.000, 0.000, 0.000], [0.667, 0.333, 0.260]]}

- What is the formula in the second record?
  CeErAl2Ga2